(1)
Density functional theory data (PBE) for Cu2AgBr8 after structural relaxation.

```
Cu2AgBr8
1.0
7.195 0.000 0.000
0.000 7.195 0.000
-3.597 -3.597 6.367
Cu Ag Br
2 1 8
direct
0.750 0.250 0.500 Cu
0.250 0.750 0.500 Cu
0.500 0.500 0.000 Ag
0.782 0.297 0.246 Br
0.052 0.536 0.754 Br
0.703 0.218 0.754 Br
0.218 0.052 0.754 Br
0.464 0.948 0.246 Br
0.948 0.782 0.246 Br
0.297 0.464 0.246 Br
0.536 0.703 0.754 Br
```

Output
VASP energy ... -2.285 eV per atom
Space group ... I422, No. 97
Mass density ... 4.4 g cm⁻³
Magnetic moment ... 0.00 Bohr magnetons per cell
E_form (uncorrected) ... -65 meV/atom



(2)
Density functional theory data (PBE) for V4GaH2 after structural relaxation.

```
V4GaH2
1.0
4.414 0.000 0.000
0.000 4.414 0.000
2.207 2.207 4.581
H Ga V
2 1 4
direct
0.441 0.441 0.118 H
0.559 0.559 0.882 H
0.000 0.000 0.000 Ga
0.261 0.261 0.477 V
0.739 0.739 0.523 V
0.000 0.500 0.000 V
0.500 0.000 0.000 V
```

Output
VASP energy ... -5.728 eV per atom
Space group ... I4/mmm, No. 139
Mass density ... 5.1 g cm⁻³
Magnetic moment ... 0.00 Bohr magnetons per cell
Distance to the lowest polymorph of the same formula ... 991 meV per atom



(3)
Density functional theory data (PBE) for LiCdCuIr after structural relaxation.

```
LiCdCuIr
1.0
-2.216 2.710 2.550
-2.142 -1.527 3.441
1.425 0.865 3.997
Ir Li Cu Cd
1 1 1 1
direct
0.500 0.500 0.500 Ir
0.250 0.250 0.250 Li
0.750 0.750 0.750 Cu
0.000 0.000 0.000 Cd
```

Output
VASP energy ... -3.935 eV per atom
Space group ... F-43m, No. 216
Mass density ... 10.8 g cm⁻³
Formation energy ... 0.0 eV/f.u.
Magnetic moment ... 0.00 Bohr magnetons per cell